w) Computed, not measured: an optimized crystal structure of Tb7Ho3Th at the PBE-GGA level of DFT.

Lattice parameters (Å, degrees): 7.0561 7.0561 8.6159 90.00 90.00 120.00
Space group P3m1 (No. 156)
Unique sites:
1 Tb 0.0000 0.0000 0.0000 [1 per cell]
2 Tb 0.1654 0.3308 0.6652 [3 per cell]
3 Tb 0.5030 0.0061 0.9957 [3 per cell]
4 Ho 0.3365 0.1682 0.3340 [3 per cell]
5 Th 0.6667 0.3333 0.6654 [1 per cell]

DOS at the Fermi energy ... 17.34 states/eV per cell

=====

x) Computed, not measured: an optimized crystal structure of Tb7Ho3Th at the PBE-GGA level of DFT.

Lattice parameters (Å, degrees): 6.9371 18.4858 11.1741 90.00 90.77 90.00
Space group C2/m (No. 12)
Unique sites:
1 Tb 0.2483 0.1614 0.4712 [8 per cell]
2 Tb 0.2487 0.0874 0.7500 [8 per cell]
3 Tb 0.2487 0.3386 0.9712 [8 per cell]
4 Tb 0.2488 0.5000 0.7498 [4 per cell]
5 Ho 0.0000 0.0000 0.0000 [2 per cell]
6 Ho 0.0003 0.2504 0.2499 [8 per cell]
7 Ho 0.0000 0.5000 0.5000 [2 per cell]
8 Th 0.0000 0.0000 0.5000 [2 per cell]
9 Th 0.0000 0.5000 0.0000 [2 per cell]

DOS at the Fermi energy ... 69.90 states/eV per cell

=====

Verdict on stability: x) comes out on top.

=====

w) Computed, not measured: an optimized crystal structure of TbHo9Th2 at the PBE-GGA level of DFT.

Lattice parameters (Å, degrees): 5.0040 5.0040 14.9751 90.00 90.00 90.00
Space group P4/mmm (No. 123)
Unique sites:
1 Tb 0.0000 0.0000 0.0000 [1 per cell]
2 Ho 0.0000 0.5000 0.1684 [4 per cell]
3 Ho 0.0000 0.5000 0.5000 [2 per cell]
4 Ho 0.5000 0.5000 0.0000 [1 per cell]
5 Ho 0.5000 0.5000 0.3330 [2 per cell]
6 Th 0.0000 0.0000 0.3344 [2 per cell]

DOS at the Fermi energy ... 18.03 states/eV per cell

=====

x) Computed, not measured: an optimized crystal structure of TbHo9Th2 at the PBE-GGA level of DFT.

Lattice parameters (Å, degrees): 11.2917 11.2917 3.4705 90.00 90.00 120.00
Space group P6/mmm (No. 191)
Unique sites:
1 Tb 0.0000 0.0000 0.0000 [1 per cell]
2 Ho 0.0000 0.5000 0.0000 [3 per cell]
3 Ho 0.1738 0.3477 0.5000 [6 per cell]
4 Th 0.3333 0.6667 0.0000 [2 per cell]

DOS at the Fermi energy ... 22.51 states/eV per cell

=====

Verdict on stability: w) comes out on top.